a:
# Co4W11 | the Open Quantum Materials Database | GGA-PBE | optimized geometry
# Crystal system: tetragonal
# Total magnetic moment: 1.6 μB/f.u.
# Space group: P4_2/mnm, No. 136
data_Co4W11
_symmetry_space_group_name_H-M 'P 1'
_symmetry_Int_Tables_number 1
_cell_length_a 9.3587
_cell_length_b 9.3587
_cell_length_c 5.1316
_cell_angle_alpha 90.00
_cell_angle_beta 90.00
_cell_angle_gamma 90.00
loop_
_symmetry_equiv_pos_as_xyz
'x,y,z'
loop_
_atom_site_label
_atom_site_fract_x
_atom_site_fract_y
_atom_site_fract_z
_atom_site_occupancy
Co1 0.0358 0.3639 0.0000 1
Co2 0.1361 0.5358 0.5000 1
Co3 0.3639 0.0358 0.0000 1
Co4 0.4642 0.8639 0.5000 1
Co5 0.5358 0.1361 0.5000 1
Co6 0.6361 0.9642 0.0000 1
Co7 0.8639 0.4642 0.5000 1
Co8 0.9642 0.6361 0.0000 1
W1 0.0000 0.0000 0.5000 1
W2 0.0556 0.2753 0.5000 1
W3 0.1036 0.1036 0.0000 1
W4 0.1899 0.8101 0.2489 1
W5 0.1899 0.8101 0.7511 1
W6 0.2247 0.5556 0.0000 1
W7 0.2753 0.0556 0.5000 1
W8 0.3101 0.3101 0.2511 1
W9 0.3101 0.3101 0.7489 1
W10 0.3964 0.6036 0.5000 1
W11 0.4444 0.7753 0.0000 1
W12 0.5000 0.5000 0.0000 1
W13 0.5556 0.2247 0.0000 1
W14 0.6036 0.3964 0.5000 1
W15 0.6899 0.6899 0.2511 1
W16 0.6899 0.6899 0.7489 1
W17 0.7247 0.9444 0.5000 1
W18 0.7753 0.4444 0.0000 1
W19 0.8101 0.1899 0.2489 1
W20 0.8101 0.1899 0.7511 1
W21 0.8964 0.8964 0.0000 1
W22 0.9444 0.7247 0.5000 1

***

b:
# Co4W11 | the Open Quantum Materials Database | GGA-PBE | optimized geometry
# Crystal system: tetragonal
# Total magnetic moment: 5.7 μB/f.u.
# Space group: P4_2/mnm, No. 136
data_Co4W11
_symmetry_space_group_name_H-M 'P 1'
_symmetry_Int_Tables_number 1
_cell_length_a 9.5649
_cell_length_b 9.5649
_cell_length_c 4.9880
_cell_angle_alpha 90.00
_cell_angle_beta 90.00
_cell_angle_gamma 90.00
loop_
_symmetry_equiv_pos_as_xyz
'x,y,z'
loop_
_atom_site_label
_atom_site_fract_x
_atom_site_fract_y
_atom_site_fract_z
_atom_site_occupancy
Co1 0.1823 0.1823 0.2485 1
Co2 0.1823 0.1823 0.7515 1
Co3 0.3177 0.6823 0.2515 1
Co4 0.3177 0.6823 0.7485 1
Co5 0.6823 0.3177 0.2515 1
Co6 0.6823 0.3177 0.7485 1
Co7 0.8177 0.8177 0.2485 1
Co8 0.8177 0.8177 0.7515 1
W1 0.0000 0.0000 0.5000 1
W2 0.0374 0.6337 0.0000 1
W3 0.0666 0.7379 0.5000 1
W4 0.0991 0.9009 0.0000 1
W5 0.1337 0.4626 0.5000 1
W6 0.2379 0.4334 0.0000 1
W7 0.2621 0.9334 0.5000 1
W8 0.3663 0.9626 0.0000 1
W9 0.4009 0.4009 0.5000 1
W10 0.4334 0.2379 0.0000 1
W11 0.4626 0.1337 0.5000 1
W12 0.5000 0.5000 0.0000 1
W13 0.5374 0.8663 0.5000 1
W14 0.5666 0.7621 0.0000 1
W15 0.5991 0.5991 0.5000 1
W16 0.6337 0.0374 0.0000 1
W17 0.7379 0.0666 0.5000 1
W18 0.7621 0.5666 0.0000 1
W19 0.8663 0.5374 0.5000 1
W20 0.9009 0.0991 0.0000 1
W21 0.9334 0.2621 0.5000 1
W22 0.9626 0.3663 0.0000 1

***

Taking the most stable structure as the zero point, the relative energies in meV/atom are a 0; b 88.

***

a:
# Co13W16 | the Open Quantum Materials Database | GGA-PBE | optimized geometry
# Crystal system: cubic
# Total magnetic moment: 0.2 μB/f.u.
# Space group: I-43m, No. 217
data_Co13W16
_symmetry_space_group_name_H-M 'P 1'
_symmetry_Int_Tables_number 1
_cell_length_a 8.0100
_cell_length_b 8.0100
_cell_length_c 8.0100
_cell_angle_alpha 109.47
_cell_angle_beta 109.47
_cell_angle_gamma 109.47
loop_
_symmetry_equiv_pos_as_xyz
'x,y,z'
loop_
_atom_site_label
_atom_site_fract_x
_atom_site_fract_y
_atom_site_fract_z
_atom_site_occupancy
Co1 0.0000 0.0000 0.0000 1
Co2 0.0000 0.1882 0.3673 1
Co3 0.0000 0.3673 0.1882 1
Co4 0.1791 0.8118 0.8118 1
Co5 0.1882 0.0000 0.3673 1
Co6 0.1882 0.3673 0.0000 1
Co7 0.3673 0.0000 0.1882 1
Co8 0.3673 0.1882 0.0000 1
Co9 0.6327 0.6327 0.8209 1
Co10 0.6327 0.8209 0.6327 1
Co11 0.8118 0.1791 0.8118 1
Co12 0.8118 0.8118 0.1791 1
Co13 0.8209 0.6327 0.6327 1
W1 0.0000 0.0000 0.6705 1
W2 0.0000 0.3939 0.6859 1
W3 0.0000 0.6705 0.0000 1
W4 0.0000 0.6859 0.3939 1
W5 0.2920 0.6061 0.6061 1
W6 0.3141 0.3141 0.7080 1
W7 0.3141 0.7080 0.3141 1
W8 0.3295 0.3295 0.3295 1
W9 0.3939 0.0000 0.6859 1
W10 0.3939 0.6859 0.0000 1
W11 0.6061 0.2920 0.6061 1
W12 0.6061 0.6061 0.2920 1
W13 0.6705 0.0000 0.0000 1
W14 0.6859 0.0000 0.3939 1
W15 0.6859 0.3939 0.0000 1
W16 0.7080 0.3141 0.3141 1

***

b:
# Co13W16 | the Open Quantum Materials Database | GGA-PBE | optimized geometry
# Crystal system: cubic
# Total magnetic moment: 0.0 μB/f.u.
# Space group: I-43m, No. 217
data_Co13W16
_symmetry_space_group_name_H-M 'P 1'
_symmetry_Int_Tables_number 1
_cell_length_a 8.0691
_cell_length_b 8.0691
_cell_length_c 8.0691
_cell_angle_alpha 109.47
_cell_angle_beta 109.47
_cell_angle_gamma 109.47
loop_
_symmetry_equiv_pos_as_xyz
'x,y,z'
loop_
_atom_site_label
_atom_site_fract_x
_atom_site_fract_y
_atom_site_fract_z
_atom_site_occupancy
Co1 0.0000 0.0000 0.0000 1
Co2 0.0000 0.4201 0.6858 1
Co3 0.0000 0.6858 0.4201 1
Co4 0.2657 0.5799 0.5799 1
Co5 0.3142 0.3142 0.7343 1
Co6 0.3142 0.7343 0.3142 1
Co7 0.4201 0.0000 0.6858 1
Co8 0.4201 0.6858 0.0000 1
Co9 0.5799 0.2657 0.5799 1
Co10 0.5799 0.5799 0.2657 1
Co11 0.6858 0.0000 0.4201 1
Co12 0.6858 0.4201 0.0000 1
Co13 0.7343 0.3142 0.3142 1
W1 0.0000 0.0000 0.6481 1
W2 0.0000 0.1996 0.3963 1
W3 0.0000 0.3963 0.1996 1
W4 0.0000 0.6481 0.0000 1
W5 0.1968 0.8004 0.8004 1
W6 0.1996 0.0000 0.3963 1
W7 0.1996 0.3963 0.0000 1
W8 0.3519 0.3519 0.3519 1
W9 0.3963 0.0000 0.1996 1
W10 0.3963 0.1996 0.0000 1
W11 0.6037 0.6037 0.8032 1
W12 0.6037 0.8032 0.6037 1
W13 0.6481 0.0000 0.0000 1
W14 0.8004 0.1968 0.8004 1
W15 0.8004 0.8004 0.1968 1
W16 0.8032 0.6037 0.6037 1

***

Taking the most stable structure as the zero point, the relative energies in meV/atom are a 0; b 104.

***

a:
# Zn2CoW | the Open Quantum Materials Database | GGA-PBE | optimized geometry
# Crystal system: cubic
# Total magnetic moment: 1.6 μB/f.u.
# Space group: Fm-3m, No. 225
data_Zn2CoW
_symmetry_space_group_name_H-M 'P 1'
_symmetry_Int_Tables_number 1
_cell_length_a 4.2450
_cell_length_b 4.2450
_cell_length_c 4.2450
_cell_angle_alpha 60.00
_cell_angle_beta 60.00
_cell_angle_gamma 60.00
loop_
_symmetry_equiv_pos_as_xyz
'x,y,z'
loop_
_atom_site_label
_atom_site_fract_x
_atom_site_fract_y
_atom_site_fract_z
_atom_site_occupancy
Zn1 0.2500 0.2500 0.2500 1
Zn2 0.7500 0.7500 0.7500 1
Co1 0.0000 0.0000 0.0000 1
W1 0.5000 0.5000 0.5000 1

***

b:
# Zn2CoW | the Open Quantum Materials Database | GGA-PBE | optimized geometry
# Crystal system: cubic
# Total magnetic moment: 0.0 μB/f.u.
# Space group: F-43m, No. 216
data_Zn2CoW
_symmetry_space_group_name_H-M 'P 1'
_symmetry_Int_Tables_number 1
_cell_length_a 4.2289
_cell_length_b 4.2289
_cell_length_c 4.2289
_cell_angle_alpha 60.00
_cell_angle_beta 60.00
_cell_angle_gamma 60.00
loop_
_symmetry_equiv_pos_as_xyz
'x,y,z'
loop_
_atom_site_label
_atom_site_fract_x
_atom_site_fract_y
_atom_site_fract_z
_atom_site_occupancy
Zn1 0.0000 0.0000 0.0000 1
Zn2 0.2500 0.2500 0.2500 1
Co1 0.7500 0.7500 0.7500 1
W1 0.5000 0.5000 0.5000 1

***

Taking the most stable structure as the zero point, the relative energies in meV/atom are a 210; b 0.